Density functional theory data (PBE) for a relaxed structure of CdCu2SiS4.

a = 6.287 Å, b = 6.501 Å, c = 7.663 Å
α = 90.00°, β = 90.00°, γ = 90.00°
Fractional coordinates of all 16 atoms:
Cu  0.130  0.175  0.749
Cu  0.130  0.175  0.251
Cu  0.630  0.825  0.249
Cu  0.630  0.825  0.751
S  0.466  0.710  0.500
S  0.535  0.641  0.000
S  0.966  0.290  0.000
S  0.495  0.159  0.776
S  0.995  0.841  0.276
S  0.035  0.359  0.500
S  0.995  0.841  0.724
S  0.495  0.159  0.224
Cd  0.627  0.349  0.500
Cd  0.127  0.651  0.000
Si  0.123  0.681  0.500
Si  0.623  0.319  0.000

---

Density functional theory data (PBE) for a relaxed structure of CdCuSnS4.

a = 7.129 Å, b = 7.729 Å, c = 7.729 Å
α = 57.60°, β = 62.54°, γ = 62.54°
Fractional coordinates of all 14 atoms:
S  0.752  0.250  0.750
S  0.249  0.250  0.750
S  0.772  0.183  0.274
S  0.772  0.774  0.683
S  0.228  0.226  0.317
S  0.751  0.750  0.250
S  0.248  0.750  0.250
S  0.228  0.817  0.726
Sn  0.000  0.000  0.000
Sn  0.000  0.500  0.500
Cu  0.000  0.000  0.500
Cu  0.500  0.000  0.500
Cd  0.662  0.588  0.088
Cd  0.338  0.412  0.912

---

Density functional theory data (PBE) for a relaxed structure of ZnCdCu4Sn2S8.

a = 5.544 Å, b = 5.544 Å, c = 10.989 Å
α = 90.00°, β = 90.00°, γ = 90.00°
Fractional coordinates of all 16 atoms:
S  0.256  0.256  0.143
S  0.744  0.256  0.857
S  0.256  0.256  0.631
S  0.256  0.744  0.369
S  0.256  0.744  0.857
S  0.744  0.744  0.143
S  0.744  0.744  0.631
S  0.744  0.256  0.369
Cu  0.500  0.000  0.256
Cu  0.000  0.500  0.256
Cu  0.500  0.000  0.744
Cu  0.000  0.500  0.744
Zn  0.500  0.500  0.500
Cd  0.000  0.000  0.000
Sn  0.500  0.500  0.000
Sn  0.000  0.000  0.500

---

Density functional theory data (PBE) for a relaxed structure of Sr2CdCuS.

a = 6.084 Å, b = 4.286 Å, c = 6.084 Å
α = 90.00°, β = 90.00°, γ = 90.00°
Fractional coordinates of all 5 atoms:
Sr  0.500  0.000  0.000
Sr  0.000  0.000  0.500
S  0.000  0.500  0.000
Cd  0.500  0.500  0.500
Cu  0.000  0.000  0.000

---

Density functional theory data (PBE) for a relaxed structure of TiCdCuS2.

a = 4.863 Å, b = 5.223 Å, c = 4.863 Å
α = 90.00°, β = 90.00°, γ = 90.00°
Fractional coordinates of all 5 atoms:
S  0.500  0.000  0.000
S  0.000  0.000  0.500
Cu  0.500  0.500  0.500
Cd  0.000  0.000  0.000
Ti  0.000  0.500  0.000

---

Density functional theory data (PBE) for a relaxed structure of TlCdCuS2.

a = 5.269 Å, b = 7.054 Å, c = 7.187 Å
α = 103.78°, β = 90.00°, γ = 90.00°
Fractional coordinates of all 10 atoms:
S  0.718  0.226  0.549
S  0.282  0.226  0.049
S  0.718  0.774  0.951
S  0.282  0.774  0.451
Cu  0.000  0.000  0.500
Cu  0.000  0.000  0.000
Tl  0.816  0.500  0.250
Tl  0.184  0.500  0.750
Cd  0.509  0.000  0.750
Cd  0.491  0.000  0.250

---

Formation energy without anion corrections readings, ordered: -515.4, -324.2, -432.4, -287.2, 1177.5, -379.6 meV per atom
V readings, ordered: 313, 306, 338, 159, 123, 259 Å³/cell